A plane-wave DFT calculation with PBE was carried out for a relaxed structure of PaNbOs.

Summary:
calculated volume = 255.44 Å³/cell
excess energy over the best structure of this formula in the dataset = 425.5 meV/atom
energy of formation from the pure elements = 0.641 eV/atom

Cell lengths 6.3450, 6.3450, 6.3450 Å; angles 90.00, 90.00, 90.00 degrees
With the nearest neighbours (Å) after each atom.
Space group F-43m (No. 216)
Symmetry-distinct sites (fractional):
Pa 0.0000 0.0000 0.0000 (multiplicity 4)  4 Os 2.75, 4 Nb 2.75
Nb 0.2500 0.2500 0.7500 (multiplicity 4)  4 Pa 2.75
Os 0.2500 0.2500 0.2500 (multiplicity 4)  4 Pa 2.75